Compound: Mn2AgAu
Source: Alexandria
Functional: SCAN
Structure: PBEsol geometry

## Properties
Electronic total energy ... -34.49 eV per atom

Cell: 3.9031 3.9031 4.8755 Å, 113.60 113.60 90.00°
Atoms (fractional coordinates):
Mn 0.0000 0.0000 0.0000
Mn 0.7500 0.2500 0.5000
Ag 0.5000 0.5000 0.0000
Au 0.2500 0.7500 0.5000



Compound: MnAg3Au
Source: Alexandria
Functional: SCAN
Structure: PBEsol geometry

## Properties
Electronic total energy ... -35.36 eV per atom

Cell: 4.7341 4.7341 4.7341 Å, 90.00 90.00 90.00°
Atoms (fractional coordinates):
Ag 0.0000 0.5000 0.0000
Au 0.5000 0.5000 0.5000
Ag 0.0000 0.0000 0.5000
Ag 0.5000 0.0000 0.0000
Mn 0.0000 0.0000 0.0000



Compound: MnReAg2Au
Source: Alexandria
Functional: SCAN
Structure: PBEsol geometry

## Properties
Electronic total energy ... -42.87 eV per atom

Cell: 4.2817 4.6889 4.6889 Å, 90.00 90.00 90.00°
Atoms (fractional coordinates):
Ag 0.0000 0.5000 0.0000
Re 0.5000 0.0000 0.0000
Mn 0.0000 0.0000 0.0000
Ag 0.0000 0.0000 0.5000
Au 0.5000 0.5000 0.5000



Compound: Sc2MnAgAu
Source: Alexandria
Functional: SCAN
Structure: PBEsol geometry

## Properties
Electronic total energy ... -29.35 eV per atom

Cell: 4.8232 5.0613 5.0613 Å, 90.00 90.00 90.00°
Atoms (fractional coordinates):
Au 0.0000 0.0000 0.0000
Sc 0.0000 0.0000 0.5000
Sc 0.0000 0.5000 0.0000
Mn 0.5000 0.0000 0.0000
Ag 0.5000 0.5000 0.5000



Compound: AgMo3Au
Source: Alexandria
Functional: SCAN
Structure: PBEsol geometry

## Properties
Electronic total energy ... -38.48 eV per atom

Cell: 4.6767 4.6767 4.6767 Å, 90.00 90.00 90.00°
Atoms (fractional coordinates):
Mo 0.0000 0.0000 0.5000
Mo 0.0000 0.5000 0.0000
Mo 0.5000 0.0000 0.0000
Ag 0.0000 0.0000 0.0000
Au 0.5000 0.5000 0.5000



Compound: AgMoAu2
Source: Alexandria
Functional: SCAN
Structure: PBEsol geometry

## Properties
Electronic total energy ... -50.84 eV per atom

Cell: 2.7466 4.9166 5.6983 Å, 115.56 103.95 90.00°
Atoms (fractional coordinates):
Mo 0.4929 0.4929 0.9857
Au 0.7546 0.2546 0.5092
Au 0.0041 0.0041 0.0081
Ag 0.2485 0.7485 0.4970



Compound: AgMoAu2
Source: Alexandria
Functional: SCAN
Structure: PBEsol geometry

## Properties
Electronic total energy ... -50.83 eV per atom

Cell: 2.7154 4.8162 5.2530 Å, 96.81 90.00 106.37°
Atoms (fractional coordinates):
Au 0.2535 0.5069 0.2569
Au 0.7465 0.4931 0.7431
Mo 0.0000 0.0000 0.5000
Ag 0.5000 0.0000 0.0000



Compound: AgMoAu2
Source: Alexandria
Functional: SCAN
Structure: PBEsol geometry

## Properties
Electronic total energy ... -50.76 eV per atom

Cell: 4.1276 4.1276 4.8182 Å, 115.36 115.36 90.00°
Atoms (fractional coordinates):
Au 0.7500 0.2500 0.5000
Mo 0.5000 0.5000 0.0000
Ag 0.2500 0.7500 0.5000
Au 0.0000 0.0000 0.0000



Compound: AgAuSN2
Source: Alexandria
Functional: SCAN
Structure: PBEsol geometry

## Properties
Electronic total energy ... -23.95 eV per atom
E_form (uncorrected) ... 1.80 eV per atom

Cell: 3.9014 3.9014 5.3195 Å, 90.00 90.00 90.00°
Atoms (fractional coordinates):
N 0.5000 0.0000 0.0000
Au 0.5000 0.5000 0.5000
Ag 0.0000 0.0000 0.0000
S 0.0000 0.0000 0.5000
N 0.0000 0.5000 0.0000



Compound: SrAg2AuN
Source: Alexandria
Functional: SCAN
Structure: PBEsol geometry

## Properties
Electronic total energy ... -31.27 eV per atom
E_form (uncorrected) ... 1.42 eV per atom

Cell: 4.0136 5.4700 5.4700 Å, 90.00 90.00 90.00°
Atoms (fractional coordinates):
Ag 0.0000 0.0000 0.5000
N 0.5000 0.0000 0.0000
Au 0.5000 0.5000 0.5000
Ag 0.0000 0.5000 0.0000
Sr 0.0000 0.0000 0.0000



Compound: Na2AgAu
Source: Alexandria
Functional: SCAN
Structure: PBEsol geometry

## Properties
Electronic total energy ... -27.31 eV per atom

Cell: 5.4915 6.2493 6.2493 Å, 78.87 63.94 63.94°
Atoms (fractional coordinates):
Au 0.7500 0.5000 0.5000
Na 0.8750 0.0034 0.4966
Na 0.1216 0.5034 0.0034
Au 0.0000 0.0000 0.0000
Ag 0.5000 0.0000 0.0000
Ag 0.2500 0.5000 0.5000
Na 0.6284 0.4966 0.9966
Na 0.3750 0.9966 0.5034



Compound: NaAgAu3
Source: Alexandria
Functional: SCAN
Structure: PBEsol geometry

## Properties
Electronic total energy ... -48.30 eV per atom

Cell: 5.0529 5.0529 5.0529 Å, 90.00 90.00 90.00°
Atoms (fractional coordinates):
Au 0.0000 0.5000 0.0000
Na 0.5000 0.5000 0.5000
Au 0.5000 0.0000 0.0000
Au 0.0000 0.0000 0.5000
Ag 0.0000 0.0000 0.0000